Density functional theory data (PBE-GGA) for Li3MgPb2 after structural relaxation.

The structure in POSCAR format:
```
Li3MgPb2
1.0
-4.450 -1.525 0.929
-0.819 -1.905 -7.052
5.310 -4.893 4.538
Li Pb Mg
6 4 2
Direct
0.826 0.075 0.650 Li
0.500 0.750 0.000 Li
0.174 0.425 0.350 Li
0.826 0.575 0.650 Li
0.500 0.250 0.000 Li
0.174 0.925 0.350 Li
0.347 0.345 0.691 Pb
0.653 0.655 0.309 Pb
0.653 0.155 0.309 Pb
0.347 0.845 0.691 Pb
0.000 0.000 0.000 Mg
0.000 0.500 0.000 Mg
```

Final energy, eV per cell: -32.22
Symmetry: No. 10
Energy of formation from the pure elements, eV per formula unit: -1.36
Size of the total moment, μB per atom: 0.000
Relative energy among the computed polymorphs, kJ/mol of formula units: 0

=====

Density functional theory data (PBE-GGA) for Cu2PBr after structural relaxation.

The structure in POSCAR format:
```
Cu2PBr
1.0
-2.616 -0.247 -2.631
2.422 -6.800 -1.770
-1.968 -1.241 2.074
Cu Br P
2 1 1
Direct
0.500 0.500 0.000 Cu
0.000 0.000 0.000 Cu
0.000 0.500 0.500 Br
0.500 0.000 0.500 P
```

E_form (uncorrected), eV per atom: 0.391
Final energy, eV per cell: -13.71
Symmetry: No. 47
Size of the total moment, μB per atom: 0.000
Relative energy among the computed polymorphs, kJ/mol of formula units: 156

=====

Density functional theory data (PBE-GGA) for Ba4Li2Pd after structural relaxation.

The structure in POSCAR format:
```
Ba4Li2Pd
1.0
4.504 0.000 -1.559
-0.770 7.074 -2.224
0.735 0.818 9.411
Ba Li Pd
4 2 1
Direct
0.430 0.727 0.859 Ba
0.570 0.273 0.141 Ba
0.147 0.835 0.294 Ba
0.853 0.165 0.706 Ba
0.764 0.624 0.529 Li
0.236 0.376 0.471 Li
0.000 0.000 0.000 Pd
```

Final energy, eV per cell: -17.82
Symmetry: No. 12
Energy of formation from the pure elements, eV per formula unit: -1.11
Size of the total moment, μB per atom: 0.000
Relative energy among the computed polymorphs, kJ/mol of formula units: 0